No. 1
This record from Alexandria describes crystalline K3CePa2N6 at its relaxed geometry. The functional is GGA-PBE.

Total moment   0.00 μB per formula unit
Calculated total energy   -7.53 eV/atom
Formation energy (no corrections)   -1.014 eV/atom
Mass density   6116 kg/m3
Space-group type   No. 12

a = 6.3229 Å, b = 6.3229 Å, c = 6.7091 Å
α = 97.71°, β = 97.71°, γ = 122.16°
Sites, in units of the cell vectors:
K (0.0000, 0.0000, 0.0000)
K (0.3344, 0.6656, 0.0000)
K (0.6656, 0.3344, 0.0000)
Ce (0.5000, 0.5000, 0.5000)
Pa (0.1656, 0.8344, 0.5000)
Pa (0.8344, 0.1656, 0.5000)
N (0.0904, 0.4323, 0.3334)
N (0.2182, 0.2182, 0.6648)
N (0.4323, 0.0904, 0.3334)
N (0.5677, 0.9096, 0.6666)
N (0.7818, 0.7818, 0.3352)
N (0.9096, 0.5677, 0.6666)

---

No. 2
This record from Alexandria describes crystalline K4CePa3N8 at its relaxed geometry. The functional is GGA-PBE.

Total moment   0.00 μB per formula unit
Calculated total energy   -7.65 eV/atom
Formation energy (no corrections)   -1.063 eV/atom
Mass density   6304 kg/m3
Space-group type   No. 12

a = 7.2315 Å, b = 7.2315 Å, c = 7.6578 Å
α = 118.04°, β = 118.04°, γ = 59.55°
Sites, in units of the cell vectors:
K (0.0000, 0.0000, 0.0000)
K (0.0000, 0.5000, 0.0000)
K (0.5000, 0.0000, 0.0000)
K (0.5000, 0.5000, 0.0000)
Ce (0.0000, 0.0000, 0.5000)
Pa (0.0000, 0.5000, 0.5000)
Pa (0.5000, 0.0000, 0.5000)
Pa (0.5000, 0.5000, 0.5000)
N (0.2273, 0.2273, 0.6631)
N (0.2282, 0.7100, 0.6626)
N (0.2764, 0.2764, 0.3338)
N (0.2900, 0.7718, 0.3374)
N (0.7100, 0.2282, 0.6626)
N (0.7236, 0.7236, 0.6662)
N (0.7718, 0.2900, 0.3374)
N (0.7727, 0.7727, 0.3369)

---

No. 3
This record from Alexandria describes crystalline KCeReN3 at its relaxed geometry. The functional is GGA-PBE.

Total moment   0.08 μB per formula unit
Calculated total energy   -8.02 eV/atom
Formation energy (no corrections)   -0.613 eV/atom
Mass density   6569 kg/m3
Space-group type   No. 12

a = 6.7432 Å, b = 6.7432 Å, c = 8.5658 Å
α = 107.02°, β = 107.02°, γ = 33.74°
Sites, in units of the cell vectors:
K (0.1397, 0.1397, 0.0621)
K (0.8603, 0.8603, 0.9379)
Ce (0.1495, 0.1495, 0.5610)
Ce (0.8505, 0.8505, 0.4390)
Re (0.4988, 0.4988, 0.7157)
Re (0.5012, 0.5012, 0.2843)
N (0.0078, 0.0078, 0.2820)
N (0.3375, 0.3375, 0.5976)
N (0.3533, 0.3533, 0.2605)
N (0.6467, 0.6467, 0.7395)
N (0.6625, 0.6625, 0.4024)
N (0.9922, 0.9922, 0.7180)

---

No. 4
This record from Alexandria describes crystalline KCeReN4 at its relaxed geometry. The functional is GGA-PBE.

Total moment   0.00 μB per formula unit
Calculated total energy   -8.16 eV/atom
Formation energy (no corrections)   -0.622 eV/atom
Mass density   5100 kg/m3
Space-group type   No. 11

a = 6.1551 Å, b = 5.9862 Å, c = 7.6703 Å
α = 90.00°, β = 103.79°, γ = 90.00°
Sites, in units of the cell vectors:
K (0.1952, 0.2500, 0.4181)
K (0.8048, 0.7500, 0.5819)
Ce (0.2897, 0.2500, 0.9435)
Ce (0.7103, 0.7500, 0.0565)
Re (0.2352, 0.7500, 0.1548)
Re (0.7648, 0.2500, 0.8452)
N (0.0367, 0.7500, 0.2978)
N (0.0442, 0.7500, 0.9377)
N (0.4307, 0.5125, 0.1686)
N (0.4307, 0.9875, 0.1686)
N (0.5693, 0.0125, 0.8314)
N (0.5693, 0.4875, 0.8314)
N (0.9558, 0.2500, 0.0623)
N (0.9633, 0.2500, 0.7022)

---

No. 5
This record from Alexandria describes crystalline K2Ce4S3N2 at its relaxed geometry. The functional is GGA-PBE.

Total moment   2.90 μB per formula unit
Calculated total energy   -6.31 eV/atom
Formation energy (no corrections)   -1.315 eV/atom
Mass density   4795 kg/m3
Space-group type   No. 139

a = 12.5269 Å, b = 12.5269 Å, c = 12.5269 Å
α = 158.49°, β = 158.49°, γ = 30.61°
Sites, in units of the cell vectors:
K (0.2045, 0.2045, 0.0000)
K (0.7955, 0.7955, 0.0000)
Ce (0.0783, 0.5783, 0.5000)
Ce (0.4217, 0.9217, 0.5000)
Ce (0.5783, 0.0783, 0.5000)
Ce (0.9217, 0.4217, 0.5000)
S (0.3402, 0.3402, 0.0000)
S (0.5000, 0.5000, 0.0000)
S (0.6598, 0.6598, 0.0000)
N (0.0909, 0.0909, 0.0000)
N (0.9091, 0.9091, 0.0000)

---

No. 6
This record from Alexandria describes crystalline K2Ce4Se3N2 at its relaxed geometry. The functional is GGA-PBE.

Total moment   3.18 μB per formula unit
Calculated total energy   -6.12 eV/atom
Formation energy (no corrections)   -1.296 eV/atom
Mass density   5296 kg/m3
Space-group type   No. 139

a = 13.1297 Å, b = 13.1297 Å, c = 13.1297 Å
α = 159.27°, β = 159.27°, γ = 29.48°
Sites, in units of the cell vectors:
K (0.2019, 0.2019, 0.0000)
K (0.7981, 0.7981, 0.0000)
Ce (0.0796, 0.5796, 0.5000)
Ce (0.4204, 0.9204, 0.5000)
Ce (0.5796, 0.0796, 0.5000)
Ce (0.9204, 0.4204, 0.5000)
Se (0.3371, 0.3371, 0.0000)
Se (0.5000, 0.5000, 0.0000)
Se (0.6629, 0.6629, 0.0000)
N (0.0895, 0.0895, 0.0000)
N (0.9105, 0.9105, 0.0000)

---

No. 7
This record from Alexandria describes crystalline KCeTcN3 at its relaxed geometry. The functional is GGA-PBE.

Total moment   0.00 μB per formula unit
Calculated total energy   -7.65 eV/atom
Formation energy (no corrections)   -0.584 eV/atom
Mass density   5375 kg/m3
Space-group type   No. 12

a = 7.1572 Å, b = 7.1572 Å, c = 7.6322 Å
α = 104.35°, β = 104.35°, γ = 31.47°
Sites, in units of the cell vectors:
K (0.1396, 0.1396, 0.0697)
K (0.8604, 0.8604, 0.9303)
Ce (0.1626, 0.1626, 0.5850)
Ce (0.8374, 0.8374, 0.4150)
Tc (0.4982, 0.4982, 0.6607)
Tc (0.5018, 0.5018, 0.3393)
N (0.0090, 0.0090, 0.3212)
N (0.3356, 0.3356, 0.6075)
N (0.3594, 0.3594, 0.2262)
N (0.6406, 0.6406, 0.7738)
N (0.6644, 0.6644, 0.3925)
N (0.9910, 0.9910, 0.6788)

---

No. 8
This record from Alexandria describes crystalline K2CeTc2N6 at its relaxed geometry. The functional is GGA-PBE.

Total moment   0.00 μB per formula unit
Calculated total energy   -7.50 eV/atom
Formation energy (no corrections)   -0.334 eV/atom
Mass density   3964 kg/m3
Space-group type   No. 12

a = 6.2341 Å, b = 6.2341 Å, c = 7.3599 Å
α = 117.51°, β = 117.51°, γ = 59.55°
Sites, in units of the cell vectors:
K (0.2114, 0.2114, 0.1825)
K (0.7886, 0.7886, 0.8175)
Ce (0.0000, 0.0000, 0.5000)
Tc (0.4508, 0.4508, 0.7885)
Tc (0.5492, 0.5492, 0.2115)
N (0.2347, 0.7183, 0.2497)
N (0.2594, 0.2594, 0.6652)
N (0.2817, 0.7653, 0.7503)
N (0.7183, 0.2347, 0.2497)
N (0.7406, 0.7406, 0.3348)
N (0.7653, 0.2817, 0.7503)

---

No. 9
This record from Alexandria describes crystalline K2CeTc2N4 at its relaxed geometry. The functional is GGA-PBE.

Total moment   0.25 μB per formula unit
Calculated total energy   -7.34 eV/atom
Formation energy (no corrections)   -0.432 eV/atom
Mass density   4898 kg/m3
Space-group type   No. 12

a = 6.6513 Å, b = 6.6513 Å, c = 9.3529 Å
α = 129.10°, β = 129.10°, γ = 30.62°
Sites, in units of the cell vectors:
K (0.1525, 0.1525, 0.2513)
K (0.8475, 0.8475, 0.7487)
Ce (0.0000, 0.0000, 0.5000)
Tc (0.3471, 0.3471, 0.1229)
Tc (0.6529, 0.6529, 0.8771)
N (0.2083, 0.2083, 0.8292)
N (0.4664, 0.4664, 0.6399)
N (0.5336, 0.5336, 0.3601)
N (0.7917, 0.7917, 0.1708)

---

No. 10
This record from Alexandria describes crystalline K2CeUN4 at its relaxed geometry. The functional is GGA-PBE.

Total moment   0.00 μB per formula unit
Calculated total energy   -7.59 eV/atom
Formation energy (no corrections)   -1.001 eV/atom
Mass density   5995 kg/m3
Space-group type   No. 10

a = 6.1702 Å, b = 3.6033 Å, c = 6.6947 Å
α = 90.00°, β = 107.54°, γ = 90.00°
Sites, in units of the cell vectors:
K (0.0000, 0.0000, 0.0000)
K (0.5000, 0.5000, 0.0000)
Ce (0.0000, 0.5000, 0.5000)
U (0.5000, 0.0000, 0.5000)
N (0.2490, 0.0000, 0.6593)
N (0.2953, 0.5000, 0.3380)
N (0.7047, 0.5000, 0.6620)
N (0.7510, 0.0000, 0.3407)

---

No. 11
This record from Alexandria describes crystalline KCeVN3 at its relaxed geometry. The functional is GGA-PBE.

Total moment   0.00 μB per formula unit
Calculated total energy   -7.64 eV/atom
Formation energy (no corrections)   -0.783 eV/atom
Mass density   4691 kg/m3
Space-group type   No. 12

a = 7.0118 Å, b = 7.0118 Å, c = 7.7318 Å
α = 104.46°, β = 104.46°, γ = 31.66°
Sites, in units of the cell vectors:
K (0.1447, 0.1447, 0.0684)
K (0.8553, 0.8553, 0.9316)
Ce (0.1562, 0.1562, 0.5811)
Ce (0.8438, 0.8438, 0.4189)
V (0.4956, 0.4956, 0.6908)
V (0.5044, 0.5044, 0.3092)
N (0.0111, 0.0111, 0.3294)
N (0.3382, 0.3382, 0.6119)
N (0.3647, 0.3647, 0.2290)
N (0.6353, 0.6353, 0.7710)
N (0.6618, 0.6618, 0.3881)
N (0.9889, 0.9889, 0.6706)

---

No. 12
This record from Alexandria describes crystalline KNa2Ce at its relaxed geometry. The functional is GGA-PBE.

ΔE_f   34.7 kJ/mol of atoms
Total moment   1.54 μB per formula unit
Calculated total energy   -2.06 eV/atom
Mass density   2374 kg/m3
Space-group type   No. 166

a = 14.4090 Å, b = 14.4090 Å, c = 14.4090 Å
α = 14.24°, β = 14.24°, γ = 14.24°
Sites, in units of the cell vectors:
K (0.0000, 0.0000, 0.0000)
Na (0.4189, 0.4189, 0.4189)
Na (0.5811, 0.5811, 0.5811)
Ce (0.5000, 0.5000, 0.5000)